Entry 1:
A relaxed structure of PrScPa2S8. Source: Alexandria via LeMat-Bulk, functional GGA-PBE.

It has space group P2/m (No. 10), with a = 6.123 Å, b = 8.255 Å, c = 6.324 Å, α = 90.00°, β = 91.65° and γ = 90.00°. The inequivalent atoms are Pr at (0.000, 0.000, 0.000), Sc at (0.000, 0.500, 0.000), Pa at (0.500, 0.255, 0.500), S at (0.227, 0.272, 0.174), S at (0.282, 0.500, 0.671) and S at (0.287, 0.000, 0.652).

The crystal system is monoclinic.

Entry 2:
A relaxed structure of Pr2SmPaS4. Source: Alexandria via LeMat-Bulk, functional GGA-PBE.

It has space group P2/m (No. 10), with a = 6.968 Å, b = 4.007 Å, c = 6.987 Å, α = 90.00°, β = 109.16° and γ = 90.00°. The inequivalent atoms are Pr at (0.000, 0.000, 0.000), Pr at (0.500, 0.500, 0.000), Sm at (0.000, 0.500, 0.500), Pa at (0.500, 0.000, 0.500), S at (0.251, 0.000, 0.738) and S at (0.258, 0.500, 0.263).

For the density of states at the Fermi level, the calculation gives 5.74 states/eV/cell. The crystal system is monoclinic.

Entry 3:
A relaxed structure of Sr2PrPaS6. Source: Alexandria via LeMat-Bulk, functional GGA-PBE.

It has space group P2_1/c (No. 14), with a = 7.058 Å, b = 7.567 Å, c = 12.491 Å, α = 90.00°, β = 124.38° and γ = 90.00°. The inequivalent atoms are Sr at (0.223, 0.080, 0.251), Pr at (0.500, 0.000, 0.000), Pa at (0.000, 0.000, 0.500), S at (0.110, 0.205, 0.931), S at (0.237, 0.686, 0.936) and S at (0.365, 0.046, 0.740).

For the density of states at the Fermi level, the calculation gives 0.00 states/eV/cell. The crystal system is monoclinic.

Entry 4:
A relaxed structure of Tb2PrPaS4. Source: Alexandria via LeMat-Bulk, functional GGA-PBE.

It has space group P2/m (No. 10), with a = 6.849 Å, b = 3.923 Å, c = 6.907 Å, α = 90.00°, β = 108.92° and γ = 90.00°. The inequivalent atoms are Tb at (0.000, 0.000, 0.000), Tb at (0.500, 0.500, 0.000), Pr at (0.000, 0.500, 0.500), Pa at (0.500, 0.000, 0.500), S at (0.255, 0.500, 0.245) and S at (0.261, 0.000, 0.760).

For the density of states at the Fermi level, the calculation gives 5.59 states/eV/cell. The crystal system is monoclinic.

Entry 5:
A relaxed structure of PrPa2TiS8. Source: Alexandria via LeMat-Bulk, functional GGA-PBE.

It has space group P2/m (No. 10), with a = 6.056 Å, b = 8.124 Å, c = 6.306 Å, α = 90.00°, β = 91.49° and γ = 90.00°. The inequivalent atoms are Pr at (0.000, 0.000, 0.000), Pa at (0.500, 0.259, 0.500), Ti at (0.000, 0.500, 0.000), S at (0.222, 0.283, 0.170), S at (0.272, 0.500, 0.681) and S at (0.280, 0.000, 0.648).

For the density of states at the Fermi level, the calculation gives 7.61 states/eV/cell. The crystal system is monoclinic.

Entry 6:
A relaxed structure of Pr2PaTl2S6. Source: Alexandria via LeMat-Bulk, functional GGA-PBE.

It has space group C2/m (No. 12), with a = 7.209 Å, b = 12.425 Å, c = 7.917 Å, α = 90.00°, β = 107.83° and γ = 90.00°. The inequivalent atoms are Pr at (0.000, 0.166, 0.000), Pa at (0.000, 0.500, 0.000), Tl at (0.000, 0.332, 0.500), S at (0.223, 0.341, 0.197) and S at (0.245, 0.500, 0.799).

For the density of states at the Fermi level, the calculation gives 6.71 states/eV/cell. The crystal system is monoclinic.

Entry 7:
A relaxed structure of PrPaSb. Source: Alexandria via LeMat-Bulk, functional GGA-PBE.

It has space group I4mm (No. 107), with a = 4.054 Å, b = 4.054 Å, c = 10.630 Å, α = 90.00°, β = 90.00° and γ = 90.00°. The inequivalent atoms are Pr at (0.000, 0.000, 0.000), Pa at (0.000, 0.000, 0.298) and Sb at (0.000, 0.000, 0.655).

The relative energy among the computed polymorphs comes out at 0 meV/atom. For the density of states at the Fermi level, the calculation gives 12.13 states/eV/cell. The crystal system is tetragonal.

Entry 8:
A relaxed structure of Pr3PaSb4. Source: Alexandria via LeMat-Bulk, functional GGA-PBE.

It has space group Cmmm (No. 65), with a = 9.035 Å, b = 12.738 Å, c = 4.500 Å, α = 90.00°, β = 90.00° and γ = 90.00°. The inequivalent atoms are Pr at (0.000, 0.000, 0.000), Pr at (0.250, 0.250, 0.500), Pa at (0.000, 0.500, 0.000), Sb at (0.000, 0.256, 0.000) and Sb at (0.241, 0.500, 0.500).

The relative energy among the computed polymorphs comes out at 0 meV/atom. For the density of states at the Fermi level, the calculation gives 13.66 states/eV/cell. The crystal system is orthorhombic.

Entry 9:
A relaxed structure of PrPaSb. Source: Alexandria via LeMat-Bulk, functional GGA-PBE.

It has space group I4/mmm (No. 139), with a = 4.207 Å, b = 4.207 Å, c = 21.930 Å, α = 90.00°, β = 90.00° and γ = 90.00°. The inequivalent atoms are Pr at (0.000, 0.000, 0.119), Pa at (0.000, 0.000, 0.277) and Sb at (0.000, 0.000, 0.426).

The relative energy among the computed polymorphs comes out at 62 meV/atom. For the density of states at the Fermi level, the calculation gives 22.78 states/eV/cell. The crystal system is tetragonal.

Entry 10:
A relaxed structure of Pr3PaSb4. Source: Alexandria via LeMat-Bulk, functional GGA-PBE.

It has space group I4/mmm (No. 139), with a = 6.366 Å, b = 6.366 Å, c = 12.745 Å, α = 90.00°, β = 90.00° and γ = 90.00°. The inequivalent atoms are Pr at (0.000, 0.000, 0.000), Pr at (0.000, 0.500, 0.250), Pa at (0.000, 0.000, 0.500), Sb at (0.000, 0.000, 0.258) and Sb at (0.000, 0.500, 0.000).

The relative energy among the computed polymorphs comes out at 5 meV/atom. For the density of states at the Fermi level, the calculation gives 14.51 states/eV/cell. The crystal system is tetragonal.

Entry 11:
A relaxed structure of PrPaSb. Source: Alexandria via LeMat-Bulk, functional GGA-PBE.

It has space group P3m1 (No. 156), with a = 5.3999 Å, b = 5.3999 Å, c = 3.4395 Å, α = 90.00°, β = 90.00° and γ = 120.00°. The inequivalent atoms are Pr at (0.0000, 0.0000, 0.0000), Pa at (0.3333, 0.6667, 0.5441) and Sb at (0.6667, 0.3333, 0.2963).

The relative energy among the computed polymorphs comes out at 221 meV/atom. For the density of states at the Fermi level, the calculation gives 5.86 states/eV/cell. The crystal system is trigonal.

Entry 12:
A relaxed structure of PrSc2PaSb4. Source: Alexandria via LeMat-Bulk, functional GGA-PBE.

It has space group P2/m (No. 10), with a = 7.408 Å, b = 4.322 Å, c = 7.520 Å, α = 90.00°, β = 109.51° and γ = 90.00°. The inequivalent atoms are Pr at (0.000, 0.000, 0.000), Sc at (0.500, 0.000, 0.500), Sc at (0.500, 0.500, 0.000), Pa at (0.000, 0.500, 0.500), Sb at (0.269, 0.000, 0.751) and Sb at (0.272, 0.500, 0.264).

For the density of states at the Fermi level, the calculation gives 6.71 states/eV/cell. The crystal system is monoclinic.

Across the entries above, formation energy without anion corrections takes the values -157.8, -182.8, -186.3, -181.8, -142.7, -143.5, -21.3, -97.1, -15.3, -96.6, 0.0, -83.4 kJ/mol of atoms, respectively.